# 1
CaAlGa4Ag2: relaxed, PBE.

a = 9.270 Å, b = 9.270 Å, c = 9.270 Å
α = 28.53°, β = 28.53°, γ = 28.53°
Positions (direct):
Ca1 0.000 0.000 0.000
Al1 0.500 0.500 0.500
Ga1 0.127 0.127 0.127
Ga2 0.398 0.398 0.398
Ga3 0.602 0.602 0.602
Ga4 0.873 0.873 0.873
Ag1 0.248 0.248 0.248
Ag2 0.752 0.752 0.752

Values from the calculation:
- Formation enthalpy at 0 K: -0.127 eV per atom
- Space group: R-3m



# 2
Ca2Al3GaAg4: relaxed, PBE.

a = 4.250 Å, b = 4.250 Å, c = 11.625 Å
α = 90.00°, β = 90.00°, γ = 90.00°
Positions (direct):
Ca1 0.000 0.500 0.247
Ca2 0.500 0.000 0.753
Al1 0.000 0.000 0.000
Al2 0.000 0.500 0.636
Al3 0.500 0.000 0.364
Ga1 0.500 0.500 0.000
Ag1 0.000 0.000 0.500
Ag2 0.000 0.500 0.858
Ag3 0.500 0.000 0.142
Ag4 0.500 0.500 0.500

Values from the calculation:
- Formation enthalpy at 0 K: -0.246 eV per atom
- Space group: P-4m2



# 3
Ca2Al4GaAg3: relaxed, PBE.

a = 4.295 Å, b = 4.295 Å, c = 11.303 Å
α = 90.00°, β = 90.00°, γ = 90.00°
Positions (direct):
Ca1 0.000 0.500 0.248
Ca2 0.500 0.000 0.752
Al1 0.000 0.000 0.500
Al2 0.000 0.500 0.864
Al3 0.500 0.000 0.136
Al4 0.500 0.500 0.500
Ga1 0.500 0.500 0.000
Ag1 0.000 0.000 0.000
Ag2 0.000 0.500 0.638
Ag3 0.500 0.000 0.362

Values from the calculation:
- Formation enthalpy at 0 K: -0.269 eV per atom
- Space group: P-4m2



# 4
Ca2Al3Ga4Ag: relaxed, PBE.

a = 4.298 Å, b = 4.298 Å, c = 11.141 Å
α = 90.00°, β = 90.00°, γ = 90.00°
Positions (direct):
Ca1 0.000 0.500 0.249
Ca2 0.500 0.000 0.751
Al1 0.000 0.000 0.000
Al2 0.000 0.500 0.636
Al3 0.500 0.000 0.364
Ga1 0.000 0.000 0.500
Ga2 0.000 0.500 0.860
Ga3 0.500 0.000 0.140
Ga4 0.500 0.500 0.500
Ag1 0.500 0.500 0.000

Values from the calculation:
- Formation enthalpy at 0 K: -0.321 eV per atom
- Space group: P-4m2



# 5
CaAlGaAg2: relaxed, PBE.

a = 6.697 Å, b = 6.697 Å, c = 6.697 Å
α = 145.26°, β = 141.97°, γ = 52.45°
Positions (direct):
Ca1 0.000 0.000 0.000
Al1 0.246 0.746 0.500
Ga1 0.395 0.395 0.000
Ag1 0.610 0.610 0.000
Ag2 0.775 0.275 0.500

Values from the calculation:
- Formation enthalpy at 0 K: -0.259 eV per atom
- Space group: Imm2



# 6
CaAlGa2Ag: relaxed, PBE.

a = 6.453 Å, b = 6.453 Å, c = 6.453 Å
α = 141.91°, β = 141.91°, γ = 54.96°
Positions (direct):
Ca1 0.000 0.000 0.000
Al1 0.250 0.750 0.500
Ga1 0.391 0.391 0.000
Ga2 0.609 0.609 0.000
Ag1 0.750 0.250 0.500

Values from the calculation:
- Formation enthalpy at 0 K: -0.351 eV per atom
- Space group: I-4m2



# 7
CaAl2GaAg2: relaxed, PBE.

a = 4.814 Å, b = 4.814 Å, c = 5.875 Å
α = 90.00°, β = 90.00°, γ = 90.00°
Positions (direct):
Ca1 0.000 0.000 0.000
Al1 0.000 0.500 0.500
Al2 0.500 0.000 0.500
Ga1 0.000 0.000 0.500
Ag1 0.500 0.500 0.237
Ag2 0.500 0.500 0.763

Values from the calculation:
- Formation enthalpy at 0 K: 0.070 eV per atom
- Space group: P4/mmm



# 8
Ca2AlGa3Ag4: relaxed, PBE.

a = 4.232 Å, b = 4.232 Å, c = 11.710 Å
α = 90.00°, β = 90.00°, γ = 90.00°
Positions (direct):
Ca1 0.000 0.500 0.249
Ca2 0.500 0.000 0.751
Al1 0.000 0.000 0.500
Ga1 0.000 0.500 0.860
Ga2 0.500 0.000 0.140
Ga3 0.500 0.500 0.500
Ag1 0.000 0.000 0.000
Ag2 0.000 0.500 0.639
Ag3 0.500 0.000 0.361
Ag4 0.500 0.500 0.000

Values from the calculation:
- Formation enthalpy at 0 K: -0.280 eV per atom
- Space group: P-4m2



# 9
Ca2Al6GaAg: relaxed, PBE.

a = 13.106 Å, b = 13.106 Å, c = 13.106 Å
α = 28.59°, β = 28.59°, γ = 28.59°
Positions (direct):
Ca1 0.139 0.139 0.139
Ca2 0.309 0.309 0.309
Ca3 0.691 0.691 0.691
Ca4 0.861 0.861 0.861
Al1 0.058 0.650 0.650
Al2 0.192 0.192 0.790
Al3 0.192 0.790 0.192
Al4 0.210 0.808 0.808
Al5 0.350 0.350 0.942
Al6 0.350 0.942 0.350
Al7 0.650 0.058 0.650
Al8 0.650 0.650 0.058
Al9 0.790 0.192 0.192
Al10 0.808 0.210 0.808
Al11 0.808 0.808 0.210
Al12 0.942 0.350 0.350
Ga1 0.418 0.418 0.418
Ga2 0.582 0.582 0.582
Ag1 0.000 0.000 0.000
Ag2 0.500 0.500 0.500

Values from the calculation:
- Formation enthalpy at 0 K: 0.025 eV per atom
- Space group: R-3m



# 10
CaGdAlAg: relaxed, PBE.

a = 5.219 Å, b = 5.219 Å, c = 5.219 Å
α = 60.00°, β = 60.00°, γ = 60.00°
Positions (direct):
Ca1 0.000 0.000 0.000
Gd1 0.500 0.500 0.500
Al1 0.250 0.250 0.250
Ag1 0.750 0.750 0.750

Values from the calculation:
- Formation enthalpy at 0 K: -0.289 eV per atom
- Space group: F-43m



# 11
CaAlAgH2: relaxed, PBE.

a = 4.108 Å, b = 4.108 Å, c = 5.857 Å
α = 90.00°, β = 90.00°, γ = 90.00°
Positions (direct):
Ca1 0.000 0.000 0.000
Al1 0.500 0.500 0.000
Ag1 0.000 0.000 0.500
H1 0.000 0.500 0.500
H2 0.500 0.000 0.500

Values from the calculation:
- Uncorrected energy: -12.1 eV per cell
- Space group: P4/mmm



# 12
Ca2Al4Ag3Hg: relaxed, PBE.

a = 4.327 Å, b = 4.327 Å, c = 11.444 Å
α = 90.00°, β = 90.00°, γ = 90.00°
Positions (direct):
Ca1 0.000 0.500 0.246
Ca2 0.500 0.000 0.754
Al1 0.000 0.000 0.000
Al2 0.000 0.500 0.641
Al3 0.500 0.000 0.359
Al4 0.500 0.500 0.000
Ag1 0.000 0.500 0.864
Ag2 0.500 0.000 0.136
Ag3 0.500 0.500 0.500
Hg1 0.000 0.000 0.500

Values from the calculation:
- Formation enthalpy at 0 K: -0.246 eV per atom
- Space group: P-4m2